No. 1
{"formula": "PrCdAgAu", "functional": "GGA-PBE", "state": "optimized geometry", "cell": [[-0.437, -0.435, 5.031], [4.081, -1.047, 2.817], [1.966, 3.554, 3.031]], "species": ["Au", "Cd", "Ag", "Pr"], "fractional_positions": [[0.000, 0.000, 0.000], [0.750, 0.750, 0.750], [0.500, 0.500, 0.500], [0.250, 0.250, 0.250]], "space_group": "No. 216", "delta_e_f_ev_per_atom": -0.449, "crystal_system": "cubic", "e_tot_ev_per_atom": -3.405}



No. 2
{"formula": "CrIn2P", "functional": "GGA-PBE", "state": "optimized geometry", "cell": [[-7.576, 0.027, 2.910], [-6.868, -3.445, 2.613], [-5.763, -1.644, 5.473]], "species": ["P", "In", "In", "Cr"], "fractional_positions": [[0.250, 0.250, 0.250], [0.994, 0.994, 0.994], [0.506, 0.506, 0.506], [0.750, 0.750, 0.750]], "space_group": "No. 166", "delta_e_f_ev_per_atom": 0.385, "crystal_system": "trigonal", "e_tot_ev_per_atom": -4.743}



No. 3
{"formula": "SmHo2Tm4", "functional": "GGA-PBE", "state": "optimized geometry", "cell": [[-0.434, 2.257, 2.632], [-7.857, -4.624, -1.966], [5.508, -2.865, 5.683]], "species": ["Sm", "Tm", "Tm", "Tm", "Tm", "Ho", "Ho"], "fractional_positions": [[0.000, 0.000, 0.000], [0.809, 0.166, 0.714], [0.191, 0.834, 0.286], [0.411, 0.706, 0.589], [0.589, 0.294, 0.411], [0.360, 0.430, 0.140], [0.640, 0.570, 0.860]], "e_above_lowest_polymorph_kcal_per_mol_atoms": 0.00, "space_group": "No. 12", "delta_e_f_ev_per_atom": 0.038, "crystal_system": "monoclinic", "e_tot_ev_per_atom": -4.499}